Record 1
# Y5ThZn4, relaxed, DFT PBE-GGA
# Total magnetic moment ... 0.000 μB per atom
# Calculated formation energy ... -0.286 eV/atom
# N(E_F) ... 10.90 states/eV per cell
data_Y5ThZn4
_cell_length_a 3.5793
_cell_length_b 3.5793
_cell_length_c 19.3221
_cell_angle_alpha 90.00
_cell_angle_beta 90.00
_cell_angle_gamma 90.00
_space_group_name_H-M_alt 'P 4/m m m'
_space_group_IT_number 123
_space_group_name_Hall '-P 4 2'
loop_
_atom_site_label
_atom_site_fract_x
_atom_site_fract_y
_atom_site_fract_z
_atom_site_occupancy
Y1 0.0000 0.0000 0.0000 1
Y2 0.0000 0.0000 0.1846 1
Y3 0.0000 0.0000 0.3709 1
Th1 0.5000 0.5000 0.5000 1
Zn1 0.5000 0.5000 0.0935 1
Zn2 0.5000 0.5000 0.2778 1

=====

Record 2
# Fe3CoP, relaxed, DFT PBE-GGA
# Total magnetic moment ... 1.667 μB per atom
# Calculated formation energy ... 0.490 eV/atom
# N(E_F) ... 6.48 states/eV per cell
data_Fe3CoP
_cell_length_a 4.1247
_cell_length_b 4.1247
_cell_length_c 4.1247
_cell_angle_alpha 90.00
_cell_angle_beta 90.00
_cell_angle_gamma 90.00
_space_group_name_H-M_alt 'P m -3 m'
_space_group_IT_number 221
_space_group_name_Hall '-P 4 2 3'
loop_
_atom_site_label
_atom_site_fract_x
_atom_site_fract_y
_atom_site_fract_z
_atom_site_occupancy
Fe1 0.0000 0.0000 0.5000 1
Co1 0.5000 0.5000 0.5000 1
P1 0.0000 0.0000 0.0000 1

=====

Record 3
# KTlTcGe2, relaxed, DFT PBE-GGA
# Total magnetic moment ... 0.000 μB per atom
# Calculated formation energy ... 0.074 eV/atom
# N(E_F) ... 3.50 states/eV per cell
data_KTlTcGe2
_cell_length_a 4.8983
_cell_length_b 4.8983
_cell_length_c 5.4268
_cell_angle_alpha 90.00
_cell_angle_beta 90.00
_cell_angle_gamma 90.00
_space_group_name_H-M_alt 'P 4/m m m'
_space_group_IT_number 123
_space_group_name_Hall '-P 4 2'
loop_
_atom_site_label
_atom_site_fract_x
_atom_site_fract_y
_atom_site_fract_z
_atom_site_occupancy
K1 0.0000 0.0000 0.0000 1
Tl1 0.5000 0.5000 0.0000 1
Tc1 0.5000 0.5000 0.5000 1
Ge1 0.0000 0.5000 0.5000 1